Record 1
VASP calculation (PBE) on a relaxed TaTiTe2N crystal.

POSCAR file:
```
TaTiTe2N
1.0
5.556 0.000 0.000
0.000 5.556 0.000
0.000 0.000 3.876
Ta Ti Te N
1 1 2 1
Cartesian
0.000 0.000 0.000
2.778 2.778 1.938
0.000 2.778 0.000
2.778 0.000 0.000
0.000 0.000 1.938
```

Computed properties:
**Relative energy among the computed polymorphs**: 0 meV/atom
**Energy relative to the elements, uncorrected**: 78 kJ/mol of formula units
**Crystal system**: tetragonal

***

Record 2
VASP calculation (PBE) on a relaxed TaTiTeN2 crystal.

POSCAR file:
```
TaTiTeN2
1.0
4.026 0.000 0.000
0.000 4.026 0.000
0.000 0.000 5.644
Ta Ti Te N
1 1 1 2
Cartesian
0.000 0.000 0.000
2.013 2.013 2.822
0.000 0.000 2.822
0.000 2.013 0.000
2.013 0.000 0.000
```

Computed properties:
**Relative energy among the computed polymorphs**: 0 meV/atom
**Energy relative to the elements, uncorrected**: 124 kJ/mol of formula units
**Crystal system**: tetragonal

***

Record 3
VASP calculation (PBE) on a relaxed TaTlTe2N crystal.

POSCAR file:
```
TaTlTe2N
1.0
5.725 0.000 0.000
0.000 5.725 0.000
0.000 0.000 3.933
Ta Tl Te N
1 1 2 1
Cartesian
0.000 0.000 0.000
2.863 2.863 1.967
0.000 2.863 0.000
2.863 0.000 0.000
0.000 0.000 1.967
```

Computed properties:
**Relative energy among the computed polymorphs**: 0 meV/atom
**Energy relative to the elements, uncorrected**: -31 kJ/mol of formula units
**Crystal system**: tetragonal

***

Record 4
VASP calculation (PBE) on a relaxed TaTlTeN2 crystal.

POSCAR file:
```
TaTlTeN2
1.0
4.173 0.000 0.000
0.000 4.173 0.000
0.000 0.000 5.894
Ta Tl Te N
1 1 1 2
Cartesian
0.000 0.000 0.000
2.087 2.087 2.947
2.087 2.087 0.000
0.000 2.087 2.947
2.087 0.000 2.947
```

Computed properties:
**Relative energy among the computed polymorphs**: 2046 meV/atom
**Energy relative to the elements, uncorrected**: 1102 kJ/mol of formula units
**Crystal system**: tetragonal

***

Record 5
VASP calculation (PBE) on a relaxed TaTlTeN2 crystal.

POSCAR file:
```
TaTlTeN2
1.0
4.141 0.000 0.000
0.000 4.141 0.000
0.000 0.000 5.803
Ta Tl Te N
1 1 1 2
Cartesian
0.000 0.000 0.000
2.070 2.070 2.901
0.000 0.000 2.901
0.000 2.070 0.000
2.070 0.000 0.000
```

Computed properties:
**Relative energy among the computed polymorphs**: 0 meV/atom
**Energy relative to the elements, uncorrected**: 115 kJ/mol of formula units
**Crystal system**: tetragonal

***

Record 6
VASP calculation (PBE) on a relaxed TaTlTe2N crystal.

POSCAR file:
```
TaTlTe2N
1.0
5.763 0.000 0.000
0.000 5.763 0.000
0.000 0.000 4.076
Ta Tl Te N
1 1 2 1
Cartesian
0.000 0.000 0.000
2.882 2.882 2.038
0.000 2.882 2.038
2.882 0.000 2.038
2.882 2.882 0.000
```

Computed properties:
**Relative energy among the computed polymorphs**: 1788 meV/atom
**Energy relative to the elements, uncorrected**: 831 kJ/mol of formula units
**Crystal system**: tetragonal

***

Record 7
VASP calculation (PBE) on a relaxed TaTlTe2N crystal.

POSCAR file:
```
TaTlTe2N
1.0
5.365 0.000 0.000
0.000 5.365 0.000
0.000 0.000 5.715
Ta Tl Te N
1 1 2 1
Cartesian
0.000 0.000 0.000
0.000 0.000 2.858
0.000 2.683 0.000
2.683 0.000 0.000
2.683 2.683 2.858
```

Computed properties:
**Relative energy among the computed polymorphs**: 1182 meV/atom
**Energy relative to the elements, uncorrected**: 539 kJ/mol of formula units
**Crystal system**: tetragonal

***

Record 8
VASP calculation (PBE) on a relaxed TaTeWN2 crystal.

POSCAR file:
```
TaTeWN2
1.0
4.034 0.000 0.000
0.000 4.034 0.000
0.000 0.000 5.845
Ta Te W N
1 1 1 2
Cartesian
0.000 0.000 0.000
0.000 0.000 2.923
2.017 2.017 2.923
0.000 2.017 0.000
2.017 0.000 0.000
```

Computed properties:
**Relative energy among the computed polymorphs**: 62 meV/atom
**Energy relative to the elements, uncorrected**: 499 kJ/mol of formula units
**Crystal system**: tetragonal

***

Record 9
VASP calculation (PBE) on a relaxed TaTeWN2 crystal.

POSCAR file:
```
TaTeWN2
1.0
3.965 0.000 0.000
0.000 3.965 0.000
0.000 0.000 5.630
Ta Te W N
1 1 1 2
Cartesian
0.000 0.000 0.000
1.983 1.983 0.000
1.983 1.983 2.815
0.000 1.983 2.815
1.983 0.000 2.815
```

Computed properties:
**Relative energy among the computed polymorphs**: 0 meV/atom
**Energy relative to the elements, uncorrected**: 469 kJ/mol of formula units
**Crystal system**: tetragonal

***

Record 10
VASP calculation (PBE) on a relaxed YTaTeN2 crystal.

POSCAR file:
```
YTaTeN2
1.0
4.149 0.000 0.000
0.000 4.149 0.000
0.000 0.000 5.528
Y Ta Te N
1 1 1 2
Cartesian
0.000 0.000 0.000
2.075 2.075 2.764
2.075 2.075 0.000
0.000 2.075 2.764
2.075 0.000 2.764
```

Computed properties:
**Relative energy among the computed polymorphs**: 0 meV/atom
**Energy relative to the elements, uncorrected**: -146 kJ/mol of formula units
**Crystal system**: tetragonal

***

Record 11
VASP calculation (PBE) on a relaxed YTaTeN2 crystal.

POSCAR file:
```
YTaTeN2
1.0
4.273 0.000 0.000
0.000 4.273 0.000
0.000 0.000 5.863
Y Ta Te N
1 1 1 2
Cartesian
0.000 0.000 0.000
2.137 2.137 2.931
0.000 0.000 2.931
0.000 2.137 0.000
2.137 0.000 0.000
```

Computed properties:
**Relative energy among the computed polymorphs**: 1614 meV/atom
**Energy relative to the elements, uncorrected**: 632 kJ/mol of formula units
**Crystal system**: tetragonal

***

Record 12
VASP calculation (PBE) on a relaxed YTaTe2N crystal.

POSCAR file:
```
YTaTe2N
1.0
5.827 0.000 0.000
0.000 5.827 0.000
0.000 0.000 4.032
Y Ta Te N
1 1 2 1
Cartesian
0.000 0.000 0.000
2.913 2.913 2.016
0.000 2.913 0.000
2.913 0.000 0.000
0.000 0.000 2.016
```

Computed properties:
**Relative energy among the computed polymorphs**: 1309 meV/atom
**Energy relative to the elements, uncorrected**: 417 kJ/mol of formula units
**Crystal system**: tetragonal